Material: ScCoF3
Method: DFT, PBE with a Hubbard U
State: relaxed

Values from the calculation:
**ΔE to the lowest computed polymorph**: 0.604 eV per atom

Cell lengths 4.056, 4.056, 4.056 Å; angles 90.00, 90.00, 90.00 degrees
Space group Pm-3m (No. 221)
Symmetry-distinct sites (fractional):
Sc  0.000  0.000  0.000 (multiplicity 1)
Co  0.500  0.500  0.500 (multiplicity 1)
F  0.000  0.500  0.500 (multiplicity 3)